*one*
NaLi2Au after structural relaxation, computed with PBE.

Structure (extended XYZ):
```
16
Lattice="7.9287 0.0000 0.0000 0.0000 7.4492 0.0000 0.0000 0.0000 5.7015" Properties=species:S:1:pos:R:3 pbc="T T T"
Na 0.2641 1.8623 0.6491
Na 3.7002 5.5869 3.4999
Na 4.2285 1.8623 2.2016
Na 7.6646 5.5869 5.0524
Li 1.3368 0.4069 3.4955
Li 1.3368 3.3177 3.4955
Li 2.6276 4.1315 0.6447
Li 2.6276 7.0423 0.6447
Li 5.3011 0.4069 5.0568
Li 5.3011 3.3177 5.0568
Li 6.5919 4.1315 2.2060
Li 6.5919 7.0423 2.2060
Au 0.9452 5.5869 2.1491
Au 3.0191 1.8623 4.9999
Au 4.9096 5.5869 0.7016
Au 6.9835 1.8623 3.5524
```

Summary:
Total magnetic moment (Bohr magnetons per cell): 0.0


*two*
NaLi2Au after structural relaxation, computed with PBE.

Structure (extended XYZ):
```
4
Lattice="4.3985 0.0000 0.0000 0.0000 4.3985 0.0000 0.0000 0.0000 3.8856" Properties=species:S:1:pos:R:3 pbc="T T T"
Na 0.0000 0.0000 0.0000
Li 0.0000 2.1993 1.9428
Li 2.1993 0.0000 1.9428
Au 2.1993 2.1993 0.0000
```

Summary:
Total magnetic moment (Bohr magnetons per cell): 0.0


Least stable = *two*


*one*
NaLi2Au after structural relaxation, computed with PBE.

Structure (extended XYZ):
```
16
Lattice="6.6296 0.0000 0.0000 0.0000 6.6296 0.0000 0.0000 0.0000 6.6296" Properties=species:S:1:pos:R:3 pbc="T T T"
Na 0.0000 0.0000 0.0000
Na 0.0000 3.3148 3.3148
Na 3.3148 0.0000 3.3148
Na 3.3148 3.3148 0.0000
Li 1.6574 1.6574 1.6574
Li 1.6574 1.6574 4.9722
Li 1.6574 4.9722 1.6574
Li 1.6574 4.9722 4.9722
Li 4.9722 1.6574 1.6574
Li 4.9722 1.6574 4.9722
Li 4.9722 4.9722 1.6574
Li 4.9722 4.9722 4.9722
Au 0.0000 0.0000 3.3148
Au 0.0000 3.3148 0.0000
Au 3.3148 0.0000 0.0000
Au 3.3148 3.3148 3.3148
```

Summary:
Total magnetic moment (Bohr magnetons per cell): 0.0


*two*
NaLi2Au after structural relaxation, computed with PBE.

Structure (extended XYZ):
```
16
Lattice="4.2388 0.0000 0.0000 0.0000 4.2388 0.0000 0.0000 0.0000 18.9381" Properties=species:S:1:pos:R:3 pbc="T T T"
Na 0.0000 0.0000 0.0000
Na 0.0000 2.1194 4.7345
Na 2.1194 0.0000 14.2035
Na 2.1194 2.1194 9.4690
Li 0.8556 1.0597 11.8363
Li 1.0597 2.9750 16.5708
Li 1.0597 3.3832 7.1018
Li 1.2638 1.0597 2.3673
Li 2.9750 3.1791 2.3673
Li 3.1791 0.8556 7.1018
Li 3.1791 1.2638 16.5708
Li 3.3832 3.1791 11.8363
Au 0.0000 0.0000 9.4690
Au 0.0000 2.1194 14.2035
Au 2.1194 0.0000 4.7345
Au 2.1194 2.1194 0.0000
```

Summary:
Total magnetic moment (Bohr magnetons per cell): 0.0


Least stable = *two*


*one*
Na2Li2Au after structural relaxation, computed with PBE.

Structure (extended XYZ):
```
10
Lattice="3.7356 0.0000 0.0000 0.0000 3.7356 0.0000 0.0000 0.0000 18.2196" Properties=species:S:1:pos:R:3 pbc="T T T"
Na 0.0000 0.0000 1.6421
Na 0.0000 0.0000 16.5775
Na 1.8678 1.8678 7.4677
Na 1.8678 1.8678 10.7519
Li 0.0000 1.8678 4.5549
Li 0.0000 1.8678 13.6647
Li 1.8678 0.0000 4.5549
Li 1.8678 0.0000 13.6647
Au 0.0000 0.0000 9.1098
Au 1.8678 1.8678 0.0000
```

Summary:
Total magnetic moment (Bohr magnetons per cell): 0.0


*two*
Na2Li2Au after structural relaxation, computed with PBE.

Structure (extended XYZ):
```
10
Lattice="6.7836 0.0000 0.0000 0.0000 6.7836 0.0000 0.0000 0.0000 5.0390" Properties=species:S:1:pos:R:3 pbc="T T T"
Na 1.2543 2.1374 0.0000
Na 2.1374 5.5292 0.0000
Na 4.6461 1.2543 0.0000
Na 5.5292 4.6461 0.0000
Li 1.0047 4.3965 2.5195
Li 2.3871 1.0047 2.5195
Li 4.3965 5.7789 2.5195
Li 5.7789 2.3871 2.5195
Au 0.0000 0.0000 2.5195
Au 3.3918 3.3918 2.5195
```

Summary:
Total magnetic moment (Bohr magnetons per cell): 0.0


Least stable = *one*


*one*
Na2LiAu2 after structural relaxation, computed with PBE.

Structure (extended XYZ):
```
10
Lattice="6.9844 0.0000 0.0000 0.0000 6.9844 0.0000 0.0000 0.0000 4.5935" Properties=species:S:1:pos:R:3 pbc="T T T"
Na 1.1418 2.3504 0.0000
Na 2.3504 5.8425 0.0000
Na 4.6340 1.1418 0.0000
Na 5.8425 4.6340 0.0000
Li 0.0000 0.0000 2.2967
Li 3.4922 3.4922 2.2967
Au 0.9915 4.4836 2.2967
Au 2.5007 0.9915 2.2967
Au 4.4836 5.9929 2.2967
Au 5.9929 2.5007 2.2967
```

Summary:
Total magnetic moment (Bohr magnetons per cell): 0.0


*two*
Na2LiAu2 after structural relaxation, computed with PBE.

Structure (extended XYZ):
```
10
Lattice="4.1643 0.0000 0.0000 0.0000 4.1643 0.0000 0.0000 0.0000 13.7872" Properties=species:S:1:pos:R:3 pbc="T T T"
Na 0.0000 2.0821 3.4468
Na 0.0000 2.0821 10.3404
Na 2.0821 0.0000 3.4468
Na 2.0821 0.0000 10.3404
Li 0.0000 0.0000 0.0000
Li 2.0821 2.0821 6.8936
Au 0.0000 0.0000 5.5445
Au 0.0000 0.0000 8.2428
Au 2.0821 2.0821 1.3491
Au 2.0821 2.0821 12.4381
```

Summary:
Total magnetic moment (Bohr magnetons per cell): 0.0


*three*
Na2LiAu2 after structural relaxation, computed with PBE.

Structure (extended XYZ):
```
10
Lattice="4.4533 0.0000 0.0000 0.0000 5.5210 0.0000 0.0000 0.0000 9.1203" Properties=species:S:1:pos:R:3 pbc="T T T"
Na 0.0000 0.0000 1.7999
Na 0.0000 0.0000 7.3204
Na 2.2267 2.7605 2.7602
Na 2.2267 2.7605 6.3601
Li 0.0000 2.7605 0.0000
Li 2.2267 0.0000 4.5602
Au 0.0000 1.4036 4.5602
Au 0.0000 4.1174 4.5602
Au 2.2267 1.3569 0.0000
Au 2.2267 4.1641 0.0000
```

Summary:
Total magnetic moment (Bohr magnetons per cell): 0.0


*four*
Na2LiAu2 after structural relaxation, computed with PBE.

Structure (extended XYZ):
```
10
Lattice="8.4383 0.0000 0.0000 0.0000 8.4383 0.0000 0.0000 0.0000 3.0932" Properties=species:S:1:pos:R:3 pbc="T T T"
Na 1.0678 3.1513 0.0000
Na 3.1513 7.3705 0.0000
Na 5.2870 1.0678 0.0000
Na 7.3705 5.2870 0.0000
Li 0.0000 0.0000 0.0000
Li 4.2192 4.2192 0.0000
Au 1.4556 5.6748 1.5466
Au 2.7635 1.4556 1.5466
Au 5.6748 6.9827 1.5466
Au 6.9827 2.7635 1.5466
```

Summary:
Total magnetic moment (Bohr magnetons per cell): 0.0


Least stable = *two*


*one*
NaLi2Au2 after structural relaxation, computed with PBE.

Structure (extended XYZ):
```
10
Lattice="4.0890 0.0000 0.0000 0.0000 4.0890 0.0000 0.0000 0.0000 12.2178" Properties=species:S:1:pos:R:3 pbc="T T T"
Na 0.0000 0.0000 0.0000
Na 2.0445 2.0445 6.1089
Li 0.0000 2.0445 3.0544
Li 0.0000 2.0445 9.1633
Li 2.0445 0.0000 3.0544
Li 2.0445 0.0000 9.1633
Au 0.0000 0.0000 4.7251
Au 0.0000 0.0000 7.4927
Au 2.0445 2.0445 1.3838
Au 2.0445 2.0445 10.8340
```

Summary:
Total magnetic moment (Bohr magnetons per cell): 0.0


*two*
NaLi2Au2 after structural relaxation, computed with PBE.

Structure (extended XYZ):
```
10
Lattice="7.7935 0.0000 0.0000 0.0000 7.7935 0.0000 0.0000 0.0000 2.9259" Properties=species:S:1:pos:R:3 pbc="T T T"
Na 0.0000 0.0000 0.0000
Na 3.8967 3.8967 0.0000
Li 0.9852 2.9115 0.0000
Li 2.9115 6.8083 0.0000
Li 4.8820 0.9852 0.0000
Li 6.8083 4.8820 0.0000
Au 1.2961 5.1928 1.4630
Au 2.6007 1.2961 1.4630
Au 5.1928 6.4974 1.4630
Au 6.4974 2.6007 1.4630
```

Summary:
Total magnetic moment (Bohr magnetons per cell): 0.0


Least stable = *one*


*one*
NaLiAu2 after structural relaxation, computed with PBE.

Structure (extended XYZ):
```
16
Lattice="6.6720 0.0000 0.0000 0.0000 6.6720 0.0000 0.0000 0.0000 6.6720" Properties=species:S:1:pos:R:3 pbc="T T T"
Na 0.0000 0.0000 0.0000
Na 0.0000 3.3360 3.3360
Na 3.3360 0.0000 3.3360
Na 3.3360 3.3360 0.0000
Li 0.0000 0.0000 3.3360
Li 0.0000 3.3360 0.0000
Li 3.3360 0.0000 0.0000
Li 3.3360 3.3360 3.3360
Au 1.6680 1.6680 1.6680
Au 1.6680 1.6680 5.0040
Au 1.6680 5.0040 1.6680
Au 1.6680 5.0040 5.0040
Au 5.0040 1.6680 1.6680
Au 5.0040 1.6680 5.0040
Au 5.0040 5.0040 1.6680
Au 5.0040 5.0040 5.0040
```

Summary:
Total magnetic moment (Bohr magnetons per cell): 0.0


*two*
NaLiAu2 after structural relaxation, computed with PBE.

Structure (extended XYZ):
```
16
Lattice="5.2663 0.0000 0.0000 0.0000 5.2663 0.0000 0.0000 0.0000 17.0012" Properties=species:S:1:pos:R:3 pbc="T T T"
Na 0.0000 1.3166 6.3755
Na 0.0000 3.9497 10.6258
Na 2.6331 1.3166 2.1252
Na 2.6331 3.9497 14.8761
Li 0.0000 1.3166 14.8761
Li 0.0000 3.9497 2.1252
Li 2.6331 1.3166 10.6258
Li 2.6331 3.9497 6.3755
Au 0.0000 0.0000 0.0000
Au 0.0000 2.6331 0.0000
Au 1.3166 1.3166 12.7509
Au 1.3166 3.9497 4.2503
Au 2.6331 0.0000 8.5006
Au 2.6331 2.6331 8.5006
Au 3.9497 1.3166 12.7509
Au 3.9497 3.9497 4.2503
```

Summary:
Total magnetic moment (Bohr magnetons per cell): 0.0


Least stable = *two*


*one*
NaLiTlAu after structural relaxation, computed with PBE.

Structure (extended XYZ):
```
4
Lattice="3.4031 0.0000 0.0000 0.0000 3.4031 0.0000 0.0000 0.0000 7.4615" Properties=species:S:1:pos:R:3 pbc="T T T"
Na 0.0000 0.0000 0.0000
Li 0.0000 0.0000 3.1272
Tl 1.7015 1.7015 5.0335
Au 1.7015 1.7015 1.9544
```

Summary:
Total magnetic moment (Bohr magnetons per cell): 0.0


*two*
NaLiTlAu after structural relaxation, computed with PBE.

Structure (extended XYZ):
```
16
Lattice="6.9604 0.0000 0.0000 0.0000 6.9604 0.0000 0.0000 0.0000 6.9604" Properties=species:S:1:pos:R:3 pbc="T T T"
Na 0.0000 0.0000 0.0000
Na 0.0000 3.4802 3.4802
Na 3.4802 0.0000 3.4802
Na 3.4802 3.4802 0.0000
Li 1.7401 1.7401 5.2203
Li 1.7401 5.2203 1.7401
Li 5.2203 1.7401 1.7401
Li 5.2203 5.2203 5.2203
Tl 1.7401 1.7401 1.7401
Tl 1.7401 5.2203 5.2203
Tl 5.2203 1.7401 5.2203
Tl 5.2203 5.2203 1.7401
Au 0.0000 0.0000 3.4802
Au 0.0000 3.4802 0.0000
Au 3.4802 0.0000 0.0000
Au 3.4802 3.4802 3.4802
```

Summary:
Total magnetic moment (Bohr magnetons per cell): 0.0


Least stable = *two*


*one*
NaLiZnAu after structural relaxation, computed with PBE.

Structure (extended XYZ):
```
12
Lattice="4.4904 0.0000 0.0000 -2.2452 3.8888 0.0000 0.0000 0.0000 15.5179" Properties=species:S:1:pos:R:3 pbc="T T T"
Na 0.0000 0.0000 0.0000
Na 0.0000 2.5925 10.3453
Na 2.2452 1.2963 5.1726
Li 0.0000 0.0000 8.0638
Li 0.0000 2.5925 2.8911
Li 2.2452 1.2963 13.2364
Zn 0.0000 0.0000 12.5064
Zn 0.0000 2.5925 7.3337
Zn 2.2452 1.2963 2.1611
Au 0.0000 0.0000 2.9659
Au 0.0000 2.5925 13.3111
Au 2.2452 1.2963 8.1385
```

Summary:
Total magnetic moment (Bohr magnetons per cell): 0.0


*two*
NaLiZnAu after structural relaxation, computed with PBE.

Structure (extended XYZ):
```
16
Lattice="6.5464 0.0000 0.0000 0.0000 6.5464 0.0000 0.0000 0.0000 6.5464" Properties=species:S:1:pos:R:3 pbc="T T T"
Na 0.0000 0.0000 0.0000
Na 0.0000 3.2732 3.2732
Na 3.2732 0.0000 3.2732
Na 3.2732 3.2732 0.0000
Li 1.6366 1.6366 4.9098
Li 1.6366 4.9098 1.6366
Li 4.9098 1.6366 1.6366
Li 4.9098 4.9098 4.9098
Zn 1.6366 1.6366 1.6366
Zn 1.6366 4.9098 4.9098
Zn 4.9098 1.6366 4.9098
Zn 4.9098 4.9098 1.6366
Au 0.0000 0.0000 3.2732
Au 0.0000 3.2732 0.0000
Au 3.2732 0.0000 0.0000
Au 3.2732 3.2732 3.2732
```

Summary:
Total magnetic moment (Bohr magnetons per cell): 0.0


Least stable = *one*


*one*
LiNbAu after structural relaxation, computed with PBE.

Structure (extended XYZ):
```
6
Lattice="2.8620 0.0000 0.0000 0.0000 2.8620 0.0000 0.0000 0.0000 12.5083" Properties=species:S:1:pos:R:3 pbc="T T T"
Li 0.7155 0.7155 1.1346
Li 2.1465 2.1465 11.3737
Nb 0.7155 0.7155 5.1181
Nb 2.1465 2.1465 7.3902
Au 0.7155 0.7155 9.5699
Au 2.1465 2.1465 2.9385
```

Summary:
Total magnetic moment (Bohr magnetons per cell): 0.0


*two*
LiNbAu after structural relaxation, computed with PBE.

Structure (extended XYZ):
```
6
Lattice="2.7785 0.0000 0.0000 -0.8304 4.9638 0.0000 -1.2899 -0.8022 7.4004" Properties=species:S:1:pos:R:3 pbc="T T T"
Li 0.0000 0.0000 0.0000
Li -0.5569 1.7470 2.1438
Nb 0.2161 0.2621 4.6774
Nb 1.1814 2.7399 4.8329
Au -0.3869 1.7202 7.2095
Au 0.6161 4.1259 2.3097
```

Summary:
Total magnetic moment (Bohr magnetons per cell): 0.0


Least stable = *two*


*one*
LiNbAu after structural relaxation, computed with PBE.

Structure (extended XYZ):
```
6
Lattice="2.8743 0.0000 0.0000 0.0000 3.7669 0.0000 0.0000 0.0000 9.2817" Properties=species:S:1:pos:R:3 pbc="T T T"
Li 0.7186 0.9417 0.7105
Li 2.1558 2.8251 8.5713
Nb 0.7186 0.9417 3.7936
Nb 2.1558 2.8251 5.4882
Au 0.7186 0.9417 7.1834
Au 2.1558 2.8251 2.0984
```

Summary:
Total magnetic moment (Bohr magnetons per cell): 0.0


*two*
LiNbAu after structural relaxation, computed with PBE.

Structure (extended XYZ):
```
12
Lattice="14.4848 0.0000 0.0000 0.0000 3.2176 0.0000 -0.0188 0.0000 4.3041" Properties=species:S:1:pos:R:3 pbc="T T T"
Li 2.5273 0.0000 0.0133
Li 4.6963 1.6088 4.2908
Li 9.7697 1.6088 0.0133
Li 11.9387 0.0000 4.2908
Nb -0.0094 0.0000 2.1520
Nb 0.0000 1.6088 0.0000
Nb 7.2424 0.0000 0.0000
Nb 7.2330 1.6088 2.1520
Au 2.3758 1.6088 2.1645
Au 4.8478 0.0000 2.1396
Au 9.6182 0.0000 2.1645
Au 12.0902 1.6088 2.1396
```

Summary:
Total magnetic moment (Bohr magnetons per cell): 0.0


Least stable = *two*


*one*
Li2NbWAu after structural relaxation, computed with PBE.

Structure (extended XYZ):
```
5
Lattice="4.1997 0.0000 0.0000 0.0000 4.1997 0.0000 0.0000 0.0000 5.3257" Properties=species:S:1:pos:R:3 pbc="T T T"
Li 0.0000 2.0998 0.0000
Li 2.0998 0.0000 0.0000
Nb 0.0000 0.0000 2.6629
W 2.0998 2.0998 2.6629
Au 0.0000 0.0000 0.0000
```

Summary:
Total magnetic moment (Bohr magnetons per cell): 0.4


*two*
Li2NbWAu after structural relaxation, computed with PBE.

Structure (extended XYZ):
```
5
Lattice="4.7949 0.0000 0.0000 0.0000 4.7949 0.0000 0.0000 0.0000 4.7090" Properties=species:S:1:pos:R:3 pbc="T T T"
Li 0.0000 2.3974 0.0000
Li 2.3974 0.0000 0.0000
Nb 0.0000 0.0000 2.3545
W 0.0000 0.0000 0.0000
Au 2.3974 2.3974 2.3545
```

Summary:
Total magnetic moment (Bohr magnetons per cell): 0.6


Least stable = *two*